# ThTaBe17

Crystalline ThTaBe17 at its relaxed geometry (GGA-PBE, Alexandria). Values from VASP.

Geometry as Quantum ESPRESSO input:
```
&SYSTEM
  ibrav = 0, nat = 19, ntyp = 3
/
ATOMIC_SPECIES
Be 9.01 Be.upf
Ta 180.95 Ta.upf
Th 232.04 Th.upf
CELL_PARAMETERS angstrom
5.720 0.021 0.698
0.620 5.687 0.698
0.023 0.021 5.763
ATOMIC_POSITIONS crystal
Be 0.496 0.006 0.006
Be 0.006 0.006 0.496
Be 0.006 0.496 0.006
Be 0.161 0.655 0.655
Be 0.655 0.655 0.161
Be 0.279 0.005 0.715
Be 0.715 0.005 0.279
Be 0.911 0.911 0.911
Be 0.005 0.715 0.279
Be 0.336 0.336 0.845
Be 0.279 0.715 0.005
Be 0.655 0.161 0.655
Be 0.715 0.279 0.005
Be 0.005 0.279 0.715
Be 0.336 0.845 0.336
Be 0.100 0.100 0.100
Be 0.845 0.336 0.336
Ta 0.335 0.335 0.335
Th 0.661 0.661 0.661
```

Output
energy of formation from the pure elements = -167 kJ/mol of formula units
space-group type = No. 160

# ThTaBe

Crystalline ThTaBe at its relaxed geometry (GGA-PBE, Alexandria). Values from VASP.

Geometry as Quantum ESPRESSO input:
```
&SYSTEM
  ibrav = 0, nat = 12, ntyp = 3
/
ATOMIC_SPECIES
Th 232.04 Th.upf
Ta 180.95 Ta.upf
Be 9.01 Be.upf
CELL_PARAMETERS angstrom
5.325 0.000 0.000
2.663 4.553 0.000
2.663 0.000 9.472
ATOMIC_POSITIONS crystal
Th 0.920 0.159 0.500
Th 0.830 0.341 0.000
Th 0.580 0.841 0.500
Th 0.170 0.659 0.000
Ta 0.581 0.000 0.839
Ta 0.169 0.500 0.661
Ta 0.419 0.000 0.161
Ta 0.331 0.500 0.339
Be 0.876 0.000 0.249
Be 0.874 0.500 0.251
Be 0.124 0.000 0.751
Be 0.626 0.500 0.749
```

Output
energy of formation from the pure elements = 58 kJ/mol of formula units
space-group type = No. 70

# TaTi2Be9

Crystalline TaTi2Be9 at its relaxed geometry (GGA-PBE, Alexandria). Values from VASP.

Geometry as Quantum ESPRESSO input:
```
&SYSTEM
  ibrav = 0, nat = 12, ntyp = 3
/
ATOMIC_SPECIES
Be 9.01 Be.upf
Ti 47.87 Ti.upf
Ta 180.95 Ta.upf
CELL_PARAMETERS angstrom
4.487 0.000 0.000
2.243 3.886 0.000
2.243 1.295 7.019
ATOMIC_POSITIONS crystal
Be 0.922 0.418 0.241
Be 0.582 0.078 0.759
Be 0.418 0.922 0.241
Be 0.500 0.500 0.500
Be 0.078 0.582 0.759
Be 0.666 0.666 0.002
Be 0.418 0.418 0.241
Be 0.582 0.582 0.759
Be 0.334 0.334 0.998
Ti 0.859 0.859 0.422
Ti 0.141 0.141 0.578
Ta 0.000 0.000 0.000
```

Output
energy of formation from the pure elements = -259 kJ/mol of formula units
space-group type = No. 166